DFT (PBE) results for a relaxed TiBe2Tl crystal.

```
data_TiBe2Tl
_symmetry_space_group_name_H-M 'F m -3 m'
_symmetry_Int_Tables_number 225
_symmetry_space_group_name_Hall '-F 4 2 3'
_cell_length_a 6.1013
_cell_length_b 6.1013
_cell_length_c 6.1013
_cell_angle_alpha 90.00
_cell_angle_beta 90.00
_cell_angle_gamma 90.00
loop_
_atom_site_label
_atom_site_type_symbol
_atom_site_fract_x
_atom_site_fract_y
_atom_site_fract_z
Ti1 Ti 0.0000 0.0000 0.0000
Be1 Be 0.2500 0.2500 0.2500
Tl1 Tl 0.0000 0.0000 0.5000
```

Results
Calculated volume in Å³ per atom: 14.20
ΔE to the lowest computed polymorph in kJ/mol of formula units: 0.0
ΔH_f (0 K) in meV/atom: 470